Record 1
Below is a relaxed LaLuGe crystal, with properties calculated at the GGA-PBE level.

Lattice parameters (Å, degrees): 4.778 4.778 4.338 90.00 90.00 120.00
Fractional coordinates of all 3 atoms:
La: 0.000 0.000 0.000
Lu: 0.667 0.333 0.495
Ge: 0.333 0.667 0.522

Results
- V: 28.59 Å³/atom
- Energy of formation from the pure elements: -489 meV per atom
- Excess energy over the best structure of this formula in the dataset: 9 meV/atom
- M_tot: 0.0 μB per cell
- DOS at the Fermi energy: 1.09 states/eV per cell

Record 2
Below is a relaxed LaLuGe crystal, with properties calculated at the GGA-PBE level.

Lattice parameters (Å, degrees): 7.044 7.044 7.044 90.00 90.00 90.00
Fractional coordinates of all 12 atoms:
La: 0.000 0.000 0.000
La: 0.000 0.500 0.500
La: 0.500 0.000 0.500
La: 0.500 0.500 0.000
Lu: 0.000 0.000 0.500
Lu: 0.000 0.500 0.000
Lu: 0.500 0.000 0.000
Lu: 0.500 0.500 0.500
Ge: 0.250 0.250 0.750
Ge: 0.250 0.750 0.250
Ge: 0.750 0.250 0.250
Ge: 0.750 0.750 0.750

Results
- V: 29.13 Å³/atom
- Energy of formation from the pure elements: -498 meV per atom
- Excess energy over the best structure of this formula in the dataset: 0 meV/atom
- M_tot: 0.0 μB per cell
- DOS at the Fermi energy: 11.55 states/eV per cell

Record 3
Below is a relaxed La2Mg5Ge4 crystal, with properties calculated at the GGA-PBE level.

Lattice parameters (Å, degrees): 9.435 8.129 6.457 79.72 57.96 42.32
Fractional coordinates of all 11 atoms:
La: 0.150 0.150 0.850
La: 0.850 0.850 0.150
Mg: 0.000 0.000 0.500
Mg: 0.250 0.250 0.250
Mg: 0.500 0.500 0.000
Mg: 0.500 0.500 0.500
Mg: 0.750 0.750 0.750
Ge: 0.235 0.472 0.528
Ge: 0.472 0.235 0.765
Ge: 0.528 0.765 0.235
Ge: 0.765 0.528 0.472

Results
- V: 23.83 Å³/atom
- Energy of formation from the pure elements: -359 meV per atom
- M_tot: 0.0 μB per cell
- DOS at the Fermi energy: 5.35 states/eV per cell

Record 4
Below is a relaxed LaMgGe crystal, with properties calculated at the GGA-PBE level.

Lattice parameters (Å, degrees): 4.257 16.460 4.364 90.00 90.00 90.00
Fractional coordinates of all 12 atoms:
La: 0.000 0.086 0.250
La: 0.000 0.914 0.750
La: 0.500 0.414 0.750
La: 0.500 0.586 0.250
Mg: 0.000 0.250 0.750
Mg: 0.000 0.750 0.250
Mg: 0.500 0.250 0.250
Mg: 0.500 0.750 0.750
Ge: 0.000 0.366 0.250
Ge: 0.000 0.634 0.750
Ge: 0.500 0.134 0.750
Ge: 0.500 0.866 0.250

Results
- V: 25.48 Å³/atom
- Energy of formation from the pure elements: -474 meV per atom
- M_tot: 0.0 μB per cell
- DOS at the Fermi energy: 9.37 states/eV per cell